The following is a PBE-GGA calculation of a relaxed structure of BeCuBi3, from Alexandria via LeMat-Bulk.

Unit cell a=5.0732 b=5.0732 c=5.0732 alpha=90.00 beta=90.00 gamma=90.00
Space group Pm-3m (No. 221)
Inequivalent atoms, fractional coordinates:
1 Be 0.0000 0.0000 0.0000 x1
2 Cu 0.5000 0.5000 0.5000 x1
3 Bi 0.0000 0.0000 0.5000 x3

Results
As for the density of states at the Fermi level: 3.2 states/eV/f.u. For the volume, the calculation gives 131 Å³/cell. The calculation puts the formation energy at 0.716 eV per atom. Its total magnetization is 0.00 μB/cell. For the total energy, the calculation gives -0.1168 hartree per atom.